# LiFePO4

A relaxed LiFePO4 crystal (GGA+U, the Alexandria database).

abc: 5.7682 5.7685 8.1161
angles: 90.00 90.00 90.00
Last column: nearest neighbours and their distance in Å.
Atoms (fractional coordinates):
O 0.7483 0.0322 0.4863  1 P 1.56
O 0.2532 0.5241 0.9868  1 P 1.58
O 0.9678 0.2517 0.2636  1 P 1.56
O 0.5241 0.7468 0.2368  1 P 1.58
O 0.2517 0.9678 0.9863  1 P 1.56
O 0.5241 0.2532 0.2632  1 P 1.58
O 0.7483 0.9678 0.0137  1 P 1.56
O 0.7468 0.5241 0.0132  1 P 1.58
O 0.2532 0.4759 0.5132  1 P 1.58
O 0.4759 0.2532 0.7368  1 P 1.58
O 0.7468 0.4759 0.4868  1 P 1.58
O 0.4759 0.7468 0.7632  1 P 1.58
O 0.0322 0.7483 0.7636  1 P 1.56
O 0.2517 0.0322 0.5137  1 P 1.56
O 0.0322 0.2517 0.7364  1 P 1.56
O 0.9678 0.7483 0.2364  1 P 1.56
P 0.7478 0.2522 0.3750  4 O 1.56-1.58
P 0.7478 0.7478 0.1250  4 O 1.56-1.58
P 0.2522 0.7478 0.8750  4 O 1.56-1.58
P 0.2522 0.2522 0.6250  4 O 1.56-1.58
Fe 0.5000 0.2351 0.0000  6 O 2.11-2.20
Fe 0.7649 0.5000 0.7500  6 O 2.11-2.20
Fe 0.2351 0.5000 0.2500  6 O 2.11-2.19
Fe 0.5000 0.7649 0.5000  6 O 2.11-2.20
Li 0.7787 0.0000 0.7500  6 O 2.06-2.28
Li 0.2213 0.0000 0.2500  6 O 2.06-2.28
Li 0.0000 0.7786 0.5000  6 O 2.06-2.28
Li 0.0000 0.2214 0.0000  6 O 2.06-2.28

- Energy relative to the lowest polymorph listed for this composition: 58 kJ/mol of formula units
- Calculated density: 3.880 g/cm³
- Energy: -6.75 eV per atom
- SG: P4_322, No. 95